! CaBe2Pd2 PBE-GGA relaxed; values from VASP
&SYSTEM
  ibrav = 0, nat = 5, ntyp = 3
/
ATOMIC_SPECIES
Be 9.01 Be.upf
Pd 106.42 Pd.upf
Ca 40.08 Ca.upf
CELL_PARAMETERS angstrom
4.026 0.000 0.000
0.000 4.026 0.000
2.013 2.013 4.957
ATOMIC_POSITIONS angstrom
Be 4.026 2.013 2.478
Be 2.013 4.026 2.478
Pd 4.026 4.026 3.558
Pd 2.013 2.013 1.399
Ca 0.000 0.000 0.000
! ΔE_f	-0.45	eV/atom
! energy above the lowest structure with this stoichiometry	0.0	meV per atom


! LaTl PBE-GGA relaxed; values from VASP
&SYSTEM
  ibrav = 0, nat = 4, ntyp = 2
/
ATOMIC_SPECIES
Tl 204.38 Tl.upf
La 138.91 La.upf
CELL_PARAMETERS angstrom
4.401 0.000 0.000
0.000 4.401 0.000
0.000 0.000 6.817
ATOMIC_POSITIONS angstrom
Tl 2.201 2.201 5.183
Tl 0.000 0.000 3.338
La 0.000 0.000 6.624
La 2.201 2.201 1.897
! ΔE_f	-0.17	eV/atom


! Dy6Te3Ru PBE-GGA relaxed; values from VASP
&SYSTEM
  ibrav = 0, nat = 20, ntyp = 3
/
ATOMIC_SPECIES
Dy 162.50 Dy.upf
Ru 101.07 Ru.upf
Te 127.60 Te.upf
CELL_PARAMETERS angstrom
-1.709 -2.151 -2.857
-4.512 -7.285 8.186
-8.826 9.030 -1.519
ATOMIC_POSITIONS angstrom
Dy -10.892 3.291 2.664
Dy -3.462 0.105 0.618
Dy -6.826 -7.191 5.376
Dy -8.222 6.785 -1.566
Dy -9.470 -2.081 5.858
Dy -5.578 1.674 -2.048
Dy -5.831 -1.109 2.949
Dy -11.586 -0.511 3.192
Dy -7.618 -4.390 3.740
Dy -9.217 0.702 0.862
Dy -7.430 3.984 0.070
Dy -4.156 -3.697 1.147
Ru -7.508 4.293 -2.866
Ru -7.540 -4.699 6.676
Te -12.646 1.934 4.735
Te -10.497 3.375 -0.386
Te -6.199 1.435 1.254
Te -4.551 -3.782 4.196
Te -2.402 -2.341 -0.925
Te -8.849 -1.841 2.557
! energy above the lowest structure with this stoichiometry	0.0	meV per atom


! Al3NiAs PBE-GGA relaxed; values from VASP
&SYSTEM
  ibrav = 0, nat = 5, ntyp = 3
/
ATOMIC_SPECIES
Al 26.98 Al.upf
As 74.92 As.upf
Ni 58.69 Ni.upf
CELL_PARAMETERS angstrom
4.499 0.000 0.000
0.000 4.499 0.000
0.000 0.000 4.499
ATOMIC_POSITIONS angstrom
Al 2.249 0.000 0.000
Al 0.000 2.249 0.000
Al 0.000 0.000 2.249
As 2.249 2.249 2.249
Ni 0.000 0.000 0.000
! ΔE_f	0.01	eV/atom
! energy above the lowest structure with this stoichiometry	0.0	meV per atom


! Ac4PmSm3Se8 PBE-GGA relaxed; values from VASP
&SYSTEM
  ibrav = 0, nat = 16, ntyp = 4
/
ATOMIC_SPECIES
Sm 150.36 Sm.upf
Ac 227.00 Ac.upf
Se 78.96 Se.upf
Pm 145.00 Pm.upf
CELL_PARAMETERS angstrom
-6.455 -0.901 -5.605
-1.935 -7.730 3.471
0.374 6.952 5.044
ATOMIC_POSITIONS angstrom
Sm -4.008 -0.839 1.455
Sm -0.780 -0.389 4.257
Sm -4.195 -4.315 -1.067
Ac -3.227 -0.450 -2.802
Ac -3.040 3.026 -0.280
Ac 0.000 0.000 0.000
Ac 0.187 3.476 2.522
Se -2.618 0.991 6.143
Se -5.397 -2.670 -3.233
Se -2.179 -2.221 -0.439
Se -5.836 0.542 3.349
Se -5.210 0.794 -0.718
Se -6.027 -2.928 0.820
Se -2.805 -2.472 3.628
Se -1.989 1.250 2.090
Pm -0.968 -3.865 1.735
! energy	-5.785	eV per atom


! Ac4SiPdI2 PBE-GGA relaxed; values from VASP
&SYSTEM
  ibrav = 0, nat = 8, ntyp = 4
/
ATOMIC_SPECIES
Si 28.09 Si.upf
Pd 106.42 Pd.upf
Ac 227.00 Ac.upf
I 126.90 I.upf
CELL_PARAMETERS angstrom
4.440 0.000 0.000
0.000 8.177 0.301
0.000 -2.718 8.097
ATOMIC_POSITIONS angstrom
Si 0.000 0.000 0.000
Pd 2.220 4.089 0.151
Ac 0.000 5.397 1.769
Ac 0.000 0.063 6.630
Ac 2.220 4.103 6.696
Ac 2.220 1.357 1.703
I 0.000 2.730 4.199
I 2.220 -1.359 4.049
! energy	-4.662	eV per atom


! Ac2Sn4Pd3 PBE-GGA relaxed; values from VASP
&SYSTEM
  ibrav = 0, nat = 18, ntyp = 3
/
ATOMIC_SPECIES
Sn 118.71 Sn.upf
Pd 106.42 Pd.upf
Ac 227.00 Ac.upf
CELL_PARAMETERS angstrom
-3.727 -5.127 0.932
1.122 -2.258 -7.931
8.450 -1.828 1.715
ATOMIC_POSITIONS angstrom
Sn 1.110 -5.322 -2.815
Sn 3.503 -3.825 -7.027
Sn 0.144 -2.376 -1.486
Sn 5.700 -6.837 -3.797
Sn 4.734 -3.891 -2.468
Sn -1.720 -4.940 -1.020
Sn 2.341 -5.388 1.744
Sn 7.564 -4.273 -4.263
Pd -1.303 -3.692 -3.499
Pd 0.496 -6.418 -0.286
Pd 5.348 -2.795 -4.997
Pd 2.360 -3.854 -0.752
Pd 3.484 -5.359 -4.531
Pd 0.000 0.000 0.000
Ac 0.625 -5.589 -6.222
Ac 2.141 -2.327 -4.232
Ac 5.219 -3.624 0.939
Ac 3.703 -6.886 -1.052
! ΔE_f	-0.71	eV/atom


! PuHf2S PBE-GGA relaxed; values from VASP
&SYSTEM
  ibrav = 0, nat = 4, ntyp = 3
/
ATOMIC_SPECIES
S 32.06 S.upf
Hf 178.49 Hf.upf
Pu 244.00 Pu.upf
CELL_PARAMETERS angstrom
-0.176 1.306 -3.045
0.413 -1.936 -2.662
-9.107 -1.902 -2.097
ATOMIC_POSITIONS angstrom
S -4.435 -1.266 -3.902
Hf -2.681 -1.168 -5.769
Hf -6.189 -1.365 -2.035
Pu 0.000 0.000 0.000
! energy	-9.834	eV per atom


! Y3TiIn PBE-GGA relaxed; values from VASP
&SYSTEM
  ibrav = 0, nat = 5, ntyp = 3
/
ATOMIC_SPECIES
Y 88.91 Y.upf
In 114.82 In.upf
Ti 47.87 Ti.upf
CELL_PARAMETERS angstrom
5.643 0.000 0.000
0.000 5.643 0.000
0.000 0.000 5.643
ATOMIC_POSITIONS angstrom
Y 2.821 0.000 0.000
Y 0.000 0.000 2.821
Y 0.000 2.821 0.000
In 0.000 0.000 0.000
Ti 2.821 2.821 2.821
! ΔE_f	0.83	eV/atom
! energy above the lowest structure with this stoichiometry	411.1	meV per atom


! LiInPb PBE-GGA relaxed; values from VASP
&SYSTEM
  ibrav = 0, nat = 6, ntyp = 3
/
ATOMIC_SPECIES
Pb 207.20 Pb.upf
In 114.82 In.upf
Li 6.94 Li.upf
CELL_PARAMETERS angstrom
5.713 0.000 0.003
-1.939 6.417 -0.002
-1.704 -0.584 4.155
ATOMIC_POSITIONS angstrom
Pb -0.852 -0.292 2.077
Pb -1.822 2.916 2.076
In 0.102 5.195 0.707
In 1.968 0.637 3.449
Li 0.948 2.024 0.685
Li 1.122 3.809 3.470
! ΔE_f	-0.16	eV/atom


! ZrBeOs2 PBE-GGA relaxed; values from VASP
&SYSTEM
  ibrav = 0, nat = 4, ntyp = 3
/
ATOMIC_SPECIES
Os 190.23 Os.upf
Be 9.01 Be.upf
Zr 91.22 Zr.upf
CELL_PARAMETERS angstrom
-1.094 3.424 -6.484
-3.974 2.590 -5.698
-2.740 5.186 -4.535
ATOMIC_POSITIONS angstrom
Os -3.787 5.431 -8.107
Os -0.118 0.169 -0.252
Be -5.856 8.400 -12.537
Zr -1.952 2.800 -4.179
! ΔE_f	0.16	eV/atom


! Zr2MnW PBE-GGA relaxed; values from VASP
&SYSTEM
  ibrav = 0, nat = 4, ntyp = 3
/
ATOMIC_SPECIES
Mn 54.94 Mn.upf
W 183.84 W.upf
Zr 91.22 Zr.upf
CELL_PARAMETERS angstrom
2.927 0.013 0.000
-1.022 2.743 0.000
0.000 0.000 8.733
ATOMIC_POSITIONS angstrom
Mn 0.952 1.378 2.183
W 0.952 1.378 6.550
Zr 0.000 0.000 4.179
Zr 0.000 0.000 0.188
! ΔE_f	0.23	eV/atom
! energy above the lowest structure with this stoichiometry	181.1	meV per atom


! RbIn3Ag PBE-GGA relaxed; values from VASP
&SYSTEM
  ibrav = 0, nat = 5, ntyp = 3
/
ATOMIC_SPECIES
Ag 107.87 Ag.upf
In 114.82 In.upf
Rb 85.47 Rb.upf
CELL_PARAMETERS angstrom
5.547 0.000 0.000
0.000 5.547 0.000
0.000 0.000 5.547
ATOMIC_POSITIONS angstrom
Ag 0.000 0.000 0.000
In 2.774 0.000 0.000
In 0.000 0.000 2.774
In 0.000 2.774 0.000
Rb 2.774 2.774 2.774
! ΔE_f	0.11	eV/atom
! energy above the lowest structure with this stoichiometry	178.1	meV per atom


! MgPtIO6 PBE-GGA relaxed; values from VASP
&SYSTEM
  ibrav = 0, nat = 18, ntyp = 4
/
ATOMIC_SPECIES
Mg 24.30 Mg.upf
O 16.00 O.upf
I 126.90 I.upf
Pt 195.08 Pt.upf
CELL_PARAMETERS angstrom
-4.700 -2.324 0.662
4.433 -2.617 1.196
-0.393 3.213 8.488
ATOMIC_POSITIONS angstrom
Mg -0.196 1.607 4.244
Mg 0.000 0.000 0.000
O -3.402 1.268 7.815
O -0.226 -0.532 3.782
O -0.213 -2.803 2.322
O 2.740 -0.530 3.918
O -0.446 1.076 8.024
O -1.877 1.208 5.587
O 2.742 -2.995 2.531
O -3.400 -1.198 6.428
O -2.143 -1.227 8.818
O 1.484 -0.500 1.528
O 1.217 -2.936 4.759
O -0.434 -1.195 6.564
I -1.754 -1.618 2.962
I 1.094 -0.109 7.384
Pt 1.291 -1.716 3.140
Pt -1.950 -0.011 7.206
! energy	-5.136	eV per atom


! Cs2AcBr5 PBE-GGA relaxed; values from VASP
&SYSTEM
  ibrav = 0, nat = 32, ntyp = 3
/
ATOMIC_SPECIES
Cs 132.91 Cs.upf
Br 79.90 Br.upf
Ac 227.00 Ac.upf
CELL_PARAMETERS angstrom
9.183 0.000 0.000
0.000 9.904 0.000
0.000 0.000 14.817
ATOMIC_POSITIONS angstrom
Cs 5.111 4.904 2.536
Cs 5.111 0.048 2.536
Cs 4.071 5.000 12.282
Cs 8.663 0.048 9.944
Cs 0.520 5.000 4.873
Cs 4.071 9.857 12.282
Cs 0.520 9.857 4.873
Cs 8.663 4.904 9.944
Br 3.101 9.492 8.473
Br 1.490 9.492 1.064
Br 3.197 2.476 4.502
Br 1.084 7.428 12.201
Br 5.465 7.428 14.645
Br 1.395 2.476 11.911
Br 6.081 0.412 6.344
Br 3.101 5.364 8.473
Br 5.676 2.476 10.025
Br 7.693 4.540 13.753
Br 7.693 0.412 13.753
Br 8.310 7.428 7.236
Br 0.873 2.476 7.582
Br 6.081 4.540 6.344
Br 1.490 5.364 1.064
Br 3.718 2.476 0.173
Br 7.788 7.428 2.907
Br 5.986 7.428 10.315
Br 3.507 7.428 4.793
Br 8.099 2.476 2.616
Ac 0.626 2.476 0.069
Ac 8.557 7.428 14.748
Ac 3.965 2.476 7.478
Ac 5.217 7.428 7.339
! energy above the lowest structure with this stoichiometry	0.0	meV per atom


! TlInCo2 PBE-GGA relaxed; values from VASP
&SYSTEM
  ibrav = 0, nat = 4, ntyp = 3
/
ATOMIC_SPECIES
Tl 204.38 Tl.upf
Co 58.93 Co.upf
In 114.82 In.upf
CELL_PARAMETERS angstrom
4.862 0.021 0.120
3.948 2.838 0.120
4.489 1.457 6.290
ATOMIC_POSITIONS angstrom
Tl 3.324 1.079 1.633
Co 7.523 2.441 3.974
Co 12.424 4.032 5.822
In 9.973 3.237 4.898
! ΔE_f	0.41	eV/atom
! energy above the lowest structure with this stoichiometry	86.9	meV per atom


! GeSeBr2N PBE-GGA relaxed; values from VASP
&SYSTEM
  ibrav = 0, nat = 5, ntyp = 4
/
ATOMIC_SPECIES
Se 78.96 Se.upf
Br 79.90 Br.upf
N 14.01 N.upf
Ge 72.64 Ge.upf
CELL_PARAMETERS angstrom
5.376 0.000 0.000
0.000 5.376 0.000
0.000 0.000 5.129
ATOMIC_POSITIONS angstrom
Se 0.000 0.000 2.564
Br 0.000 2.688 0.000
Br 2.688 0.000 0.000
N 2.688 2.688 2.564
Ge 0.000 0.000 0.000
! energy above the lowest structure with this stoichiometry	189.0	meV per atom


! CdSiAu2N PBE-GGA relaxed; values from VASP
&SYSTEM
  ibrav = 0, nat = 5, ntyp = 4
/
ATOMIC_SPECIES
Au 196.97 Au.upf
Si 28.09 Si.upf
N 14.01 N.upf
Cd 112.41 Cd.upf
CELL_PARAMETERS angstrom
5.195 0.000 0.000
0.000 5.195 0.000
0.000 0.000 3.278
ATOMIC_POSITIONS angstrom
Au 2.597 0.000 0.000
Au 0.000 2.597 0.000
Si 0.000 0.000 1.639
N 0.000 0.000 0.000
Cd 2.597 2.597 1.639
! energy	-3.732	eV per atom


! Y3ScZn8 PBE-GGA relaxed; values from VASP
&SYSTEM
  ibrav = 0, nat = 12, ntyp = 3
/
ATOMIC_SPECIES
Sc 44.96 Sc.upf
Zn 65.41 Zn.upf
Y 88.91 Y.upf
CELL_PARAMETERS angstrom
5.198 0.000 1.569
2.362 4.630 1.569
0.007 0.004 9.370
ATOMIC_POSITIONS angstrom
Sc 6.608 4.047 6.291
Zn 4.511 4.344 8.570
Zn 7.093 4.344 9.350
Zn 5.898 2.023 3.940
Zn 5.204 3.187 10.941
Zn 4.482 4.334 3.940
Zn 3.303 2.023 3.157
Zn 1.422 0.871 4.683
Zn 5.920 2.044 8.570
Y 3.796 2.325 6.213
Y 7.542 4.619 3.198
Y 2.850 1.746 9.344
! ΔE_f	-0.34	eV/atom